An optimized crystal structure of NdMnIn4O8. Source: Alexandria via LeMat-Bulk, functional PBE+U.

Cell and atoms, written as POSCAR:
```
NdMnIn4O8
1.0
3.3296 1.9224 5.4111
-3.3296 1.9224 5.4111
0.0000 -3.8447 5.4111
Nd Mn In O
1 1 4 8
Cartesian
0.0000 0.0000 0.0000
0.0000 0.0000 10.1083
-1.6596 -0.9582 7.4004
0.0000 0.0000 3.9740
1.6596 -0.9582 7.4004
0.0000 1.9164 7.4004
0.0000 -1.7673 8.6665
-1.5305 0.8836 8.6665
0.0000 0.0000 6.1947
-1.4803 -0.8546 11.5528
1.5305 0.8836 8.6665
0.0000 0.0000 13.9507
1.4803 -0.8546 11.5528
0.0000 1.7093 11.5528
```

Results
Uncorrected energy = -6.30 eV/atom
Volume = 208 Å³ per cell
Magnetization = 4.96 μB/f.u.
D(E_F) = 0.09 states/eV/atom
Space group = No. 160